RbHg2GePt, relaxed, DFT GGA-PBE; N(E_F) = 2.7 states/eV/f.u.; ΔH_f (0 K) = -0.8 eV per formula unit; total magnetic moment = 0.000 μB per atom
1.0
-4.540 -2.095 2.134
1.116 -4.786 -2.325
2.496 -1.352 3.982
Hg Rb Ge Pt
2 1 1 1
direct
0.000 0.500 0.000
0.500 0.000 0.000
0.500 0.500 0.500
0.000 0.000 0.500
0.000 0.000 0.000

=====

LuHfGaPt, relaxed, DFT GGA-PBE; N(E_F) = 3.2 states/eV/f.u.; ΔH_f (0 K) = -2.9 eV per formula unit; total magnetic moment = 0.000 μB per atom
1.0
4.807 0.000 0.000
2.404 4.163 0.000
2.404 1.388 3.925
Ga Hf Pt Lu
1 1 1 1
direct
0.250 0.250 0.250
0.500 0.500 0.500
0.750 0.750 0.750
0.000 0.000 0.000

=====

SrTb2Cd, relaxed, DFT GGA-PBE; N(E_F) = 6.0 states/eV/f.u.; ΔH_f (0 K) = 0.7 eV per formula unit; total magnetic moment = 0.080 μB per atom
1.0
3.659 0.000 0.000
1.830 3.169 0.000
1.830 1.056 12.029
Sr Tb Cd
1 2 1
direct
0.000 0.000 0.000
0.901 0.901 0.298
0.099 0.099 0.702
0.500 0.500 0.500

=====

HfTlRuRh, relaxed, DFT GGA-PBE; N(E_F) = 0.5 states/eV/f.u.; ΔH_f (0 K) = -1.5 eV per formula unit; total magnetic moment = 0.000 μB per atom
1.0
4.607 0.000 0.000
2.303 3.989 0.000
2.303 1.330 3.761
Rh Hf Ru Tl
1 1 1 1
direct
0.000 0.000 0.000
0.250 0.250 0.250
0.500 0.500 0.500
0.750 0.750 0.750

=====

ZrSiNF2, relaxed, DFT GGA-PBE; N(E_F) = 3.7 states/eV/f.u.; formation energy without anion corrections = -4.13 eV/f.u.; total magnetic moment = 0.245 μB per atom
1.0
-1.000 3.933 -1.746
-1.757 -2.009 -3.520
-2.916 -0.076 1.499
Zr F N Si
1 2 1 1
direct
0.500 0.500 0.500
0.500 0.000 0.000
0.000 0.500 0.000
0.000 0.000 0.500
0.000 0.000 0.000

=====

PmHoCdOs, relaxed, DFT GGA-PBE; N(E_F) = 3.3 states/eV/f.u.; ΔH_f (0 K) = -0.6 eV per formula unit; total magnetic moment = 0.000 μB per atom
1.0
5.070 0.000 0.000
2.535 4.391 0.000
2.535 1.464 4.140
Cd Os Pm Ho
1 1 1 1
direct
0.750 0.750 0.750
0.250 0.250 0.250
0.000 0.000 0.000
0.500 0.500 0.500

=====

ZrNi3, relaxed, DFT GGA-PBE; N(E_F) = 4.4 states/eV/f.u.; ΔH_f (0 K) = -0.9 eV per formula unit; total magnetic moment = 0.000 μB per atom
1.0
-1.395 -2.717 1.006
2.882 -1.186 0.794
-0.492 2.047 4.846
Ni Zr
3 1
direct
0.000 0.000 0.980
0.000 0.000 0.520
0.500 0.500 0.750
0.500 0.500 0.250

=====

TcHW2, relaxed, DFT GGA-PBE; N(E_F) = 3.7 states/eV/f.u.; total magnetic moment = 0.000 μB per atom; calculated total energy = -9.4055 eV per atom
1.0
-2.178 -1.794 -6.072
6.324 -0.911 -2.000
1.973 -3.554 -3.349
Tc W H
2 4 2
direct
0.000 0.000 0.000
0.750 0.250 0.500
0.875 0.769 0.750
0.519 0.125 0.250
0.375 0.481 0.750
0.231 0.625 0.250
0.250 0.750 0.500
0.500 0.500 0.000

=====

Ba3SiAg, relaxed, DFT GGA-PBE; N(E_F) = 5.7 states/eV/f.u.; formation energy without anion corrections = 0.14 eV/f.u.; total magnetic moment = 0.000 μB per atom
1.0
6.385 0.000 0.000
0.000 6.385 0.000
0.000 0.000 6.385
Si Ba Ag
1 3 1
direct
0.000 0.000 0.000
0.500 0.000 0.000
0.000 0.000 0.500
0.000 0.500 0.000
0.500 0.500 0.500

=====

Y2TcAg, relaxed, DFT GGA-PBE; N(E_F) = 2.6 states/eV/f.u.; ΔH_f (0 K) = 0.8 eV per formula unit; total magnetic moment = 0.000 μB per atom
1.0
-0.294 2.763 -3.785
-0.078 -0.560 -4.661
-6.290 -0.113 -1.121
Tc Ag Y
1 1 2
direct
0.750 0.750 0.750
0.250 0.250 0.250
0.492 0.492 0.523
0.008 0.008 0.977

=====

Mg2Mo2Cl, relaxed, DFT GGA-PBE; N(E_F) = 3.2 states/eV/f.u.; formation energy without anion corrections = 0.74 eV/f.u.; total magnetic moment = 0.000 μB per atom
1.0
-0.676 -2.617 -2.337
-1.943 -1.702 2.469
-8.193 1.936 -2.527
Mg Cl Mo
2 1 2
direct
0.386 0.386 0.227
0.614 0.614 0.773
0.000 0.000 0.000
0.750 0.250 0.500
0.250 0.750 0.500

=====

CsNaDyCl5, relaxed, DFT GGA-PBE; N(E_F) = 0.0 states/eV/f.u.; formation energy without anion corrections = -16.94 eV/f.u.; total magnetic moment = 0.000 μB per atom
1.0
-7.070 1.201 -3.416
-0.858 -4.759 6.301
1.777 9.127 4.462
Dy Cl Cs Na
2 10 2 2
direct
0.000 0.000 0.000
0.000 0.000 0.500
0.719 0.100 0.418
0.351 0.240 0.070
0.240 0.351 0.570
0.760 0.649 0.430
0.281 0.900 0.582
0.058 0.942 0.250
0.649 0.760 0.930
0.100 0.719 0.918
0.942 0.058 0.750
0.900 0.281 0.082
0.665 0.335 0.750
0.335 0.665 0.250
0.687 0.313 0.250
0.313 0.687 0.750

=====

RbLiIrO3, relaxed, DFT GGA-PBE; N(E_F) = 4.9 states/eV/f.u.; formation energy without anion corrections = -6.09 eV/f.u.; total magnetic moment = 0.000 μB per atom
1.0
-1.722 5.540 -1.733
-4.618 -2.199 -2.439
-0.279 1.667 5.608
Ir O Li Rb
2 6 2 2
direct
0.250 0.032 0.064
0.750 0.968 0.936
0.000 0.772 0.000
0.500 0.228 0.000
0.000 0.228 0.000
0.500 0.772 0.000
0.750 0.778 0.555
0.250 0.222 0.445
0.250 0.411 0.822
0.750 0.589 0.178
0.250 0.715 0.429
0.750 0.285 0.571

=====

ZrSiTe3, relaxed, DFT GGA-PBE; N(E_F) = 4.5 states/eV/f.u.; formation energy without anion corrections = 1.95 eV/f.u.; total magnetic moment = 0.141 μB per atom
1.0
5.187 0.000 0.000
0.000 5.187 0.000
0.000 0.000 5.187
Si Te Zr
1 3 1
direct
0.000 0.000 0.000
0.000 0.000 0.500
0.000 0.500 0.000
0.500 0.000 0.000
0.500 0.500 0.500

=====

ScRe2Ir, relaxed, DFT GGA-PBE; N(E_F) = 6.2 states/eV/f.u.; ΔH_f (0 K) = 0.9 eV per formula unit; total magnetic moment = 0.000 μB per atom
1.0
0.000 3.155 3.155
3.155 0.000 3.155
3.155 3.155 0.000
Re Sc Ir
2 1 1
direct
0.750 0.750 0.750
0.250 0.250 0.250
0.000 0.000 0.000
0.500 0.500 0.500

=====

Sm4Y3Th, relaxed, DFT GGA-PBE; N(E_F) = 14.3 states/eV/f.u.; ΔH_f (0 K) = 1.4 eV per formula unit; total magnetic moment = 0.000 μB per atom
1.0
-0.731 -1.372 -3.099
6.654 -1.244 -1.018
-4.081 -8.889 6.838
Sm Th Y
4 1 3
direct
0.122 0.362 0.245
0.742 0.240 0.484
0.878 0.638 0.755
0.258 0.760 0.516
0.500 0.000 0.000
0.123 0.884 0.246
0.877 0.116 0.754
0.000 0.500 0.000

=====

KTiAgF6, relaxed, DFT GGA-PBE; N(E_F) = 0.0 states/eV/f.u.; formation energy without anion corrections = -25.31 eV/f.u.; total magnetic moment = 0.015 μB per atom
1.0
-4.340 -3.743 -1.817
0.902 -5.943 0.122
-1.869 -0.182 4.836
Ti F K Ag
1 6 1 1
direct
0.333 0.333 0.500
0.338 0.591 0.292
0.071 0.337 0.293
0.592 0.070 0.293
0.337 0.071 0.707
0.592 0.338 0.707
0.070 0.592 0.707
0.000 0.000 0.000
0.666 0.666 0.500

=====

La3ErTh, relaxed, DFT GGA-PBE; N(E_F) = 8.8 states/eV/f.u.; ΔH_f (0 K) = 0.8 eV per formula unit; total magnetic moment = 0.000 μB per atom
1.0
-6.273 -2.176 -0.361
0.547 -0.530 -6.303
5.502 -6.397 4.186
La Er Th
6 2 2
direct
0.113 0.098 0.694
0.581 0.098 0.694
0.887 0.902 0.306
0.210 0.459 0.419
0.419 0.902 0.306
0.790 0.541 0.581
0.552 0.301 0.104
0.448 0.699 0.896
0.000 0.000 0.000
0.000 0.500 0.000

=====

TaCd2Sb, relaxed, DFT GGA-PBE; N(E_F) = 3.2 states/eV/f.u.; formation energy without anion corrections = 2.34 eV/f.u.; total magnetic moment = 0.000 μB per atom
1.0
8.153 0.000 0.000
0.000 8.153 0.000
4.076 4.076 2.797
Cd Ta Sb
4 2 2
direct
0.875 0.881 0.750
0.631 0.125 0.250
0.119 0.625 0.250
0.375 0.369 0.750
0.000 0.000 0.000
0.750 0.250 0.500
0.250 0.750 0.500
0.500 0.500 0.000

=====

CrRh3W, relaxed, DFT GGA-PBE; N(E_F) = 5.6 states/eV/f.u.; ΔH_f (0 K) = 1.8 eV per formula unit; total magnetic moment = 0.725 μB per atom
1.0
4.892 0.000 0.000
0.000 4.637 -2.460
0.000 0.660 6.845
Rh W Cr
6 2 2
direct
0.000 0.000 0.000
0.750 0.406 0.323
0.250 0.594 0.677
0.500 0.000 0.000
0.750 0.916 0.323
0.250 0.084 0.677
0.750 0.820 0.640
0.250 0.180 0.360
0.250 0.566 0.132
0.750 0.434 0.868

=====

InTe3Pb3, relaxed, DFT GGA-PBE; N(E_F) = 1.3 states/eV/f.u.; formation energy without anion corrections = -1.23 eV/f.u.; total magnetic moment = 0.000 μB per atom
1.0
-1.595 3.164 5.416
-6.971 -6.871 1.961
5.739 -4.460 4.295
Te Pb In
6 6 2
direct
0.250 0.853 0.603
0.750 0.634 0.891
0.250 0.366 0.109
0.750 0.121 0.833
0.250 0.879 0.167
0.750 0.147 0.397
0.750 0.861 0.608
0.750 0.933 0.129
0.250 0.139 0.392
0.750 0.346 0.108
0.250 0.067 0.871
0.250 0.654 0.892
0.750 0.634 0.271
0.250 0.366 0.729

=====

Sn12Bi3Sb5, relaxed, DFT GGA-PBE; N(E_F) = 8.6 states/eV/f.u.; formation energy without anion corrections = 3.53 eV/f.u.; total magnetic moment = 0.000 μB per atom
1.0
-8.328 -13.116 1.650
15.112 -3.078 2.497
-4.926 10.631 10.334
Sb Bi Sn
20 12 48
direct
0.375 0.125 0.750
0.750 0.125 0.875
0.250 0.875 0.125
0.500 0.000 0.500
0.875 0.625 0.750
0.000 0.000 0.500
0.125 0.750 0.375
0.500 0.000 0.000
0.500 0.500 0.500
0.500 0.500 0.000
0.000 0.500 0.500
0.875 0.250 0.625
0.375 0.250 0.125
0.125 0.375 0.250
0.625 0.750 0.875
0.750 0.625 0.375
0.000 0.000 0.000
0.625 0.875 0.250
0.000 0.500 0.000
0.250 0.375 0.625
0.375 0.625 0.250
0.375 0.750 0.625
0.750 0.375 0.125
0.875 0.125 0.250
0.125 0.875 0.750
0.625 0.375 0.750
0.875 0.750 0.125
0.750 0.875 0.625
0.125 0.250 0.875
0.250 0.125 0.375
0.625 0.250 0.375
0.250 0.625 0.875
0.227 0.562 0.644
0.918 0.836 0.773
0.164 0.082 0.938
0.062 0.644 0.727
0.582 0.938 0.664
0.336 0.562 0.418
0.164 0.082 0.727
0.227 0.664 0.082
0.836 0.918 0.062
0.438 0.773 0.856
0.356 0.418 0.082
0.727 0.582 0.164
0.273 0.856 0.938
0.856 0.582 0.918
0.062 0.418 0.836
0.644 0.062 0.227
0.836 0.918 0.273
0.418 0.356 0.582
0.773 0.438 0.356
0.082 0.918 0.356
0.356 0.938 0.773
0.336 0.773 0.418
0.562 0.227 0.144
0.582 0.644 0.418
0.664 0.227 0.582
0.582 0.727 0.664
0.918 0.082 0.856
0.082 0.164 0.227
0.418 0.062 0.336
0.418 0.144 0.582
0.082 0.164 0.438
0.082 0.918 0.144
0.856 0.273 0.438
0.938 0.356 0.273
0.773 0.336 0.918
0.418 0.273 0.336
0.727 0.144 0.062
0.582 0.856 0.418
0.438 0.664 0.082
0.644 0.582 0.918
0.562 0.336 0.918
0.918 0.082 0.644
0.938 0.582 0.164
0.664 0.438 0.582
0.144 0.727 0.562
0.918 0.836 0.562
0.273 0.418 0.836
0.144 0.418 0.082